No. 1
Computed, not measured: a relaxed structure of AcPu2Ga at the GGA-PBE level of DFT.

Output
* E above lowest polymorph: 0.80 eV/f.u.
* energy of formation from the pure elements: 179 meV per atom

Lattice parameters (Å, degrees): 5.0002 5.0002 17.2615 90.00 90.00 120.00
Space group R-3m (No. 166, hexagonal axes)
Unique sites:
Ac  0.0000  0.0000  0.0000 x3
Pu  0.0000  0.0000  0.2086 x6
Ga  0.0000  0.0000  0.5000 x3

---

No. 2
Computed, not measured: a relaxed structure of Ce2Al5PdRh2 at the GGA-PBE level of DFT.

Output
* energy of formation from the pure elements: -669 meV per atom

Lattice parameters (Å, degrees): 9.379 9.379 4.195 90.00 90.00 90.00
Space group P4/mbm (No. 127)
Unique sites:
Ce  0.184  0.316  0.000 x4
Al  0.000  0.500  0.500 x2
Al  0.053  0.798  0.500 x8
Pd  0.000  0.000  0.000 x2
Rh  0.118  0.618  0.000 x4